1.
Entry from Alexandria via LeMat-Bulk: crystalline TmScF6 at its relaxed geometry (PBE).

Cell lengths 5.4626, 5.4626, 5.5959 Å; angles 101.10, 101.10, 122.29 degrees
Last column: nearest neighbours and their distance in Å.
Element x y z (fractional)
Tm 0.0000 0.0000 0.0000  6 F 2.13-2.19
Sc 0.8028 0.1972 0.5000  6 F 2.02-2.07
F 0.0513 0.3834 0.2746  1 Sc 2.04, 1 Tm 2.19
F 0.1803 0.2655 0.7584  1 Sc 2.07, 1 Tm 2.15
F 0.4131 0.1038 0.2570  1 Sc 2.02, 1 Tm 2.13
F 0.6166 0.9487 0.7254  1 Sc 2.04, 1 Tm 2.19
F 0.7345 0.8197 0.2416  1 Sc 2.07, 1 Tm 2.15
F 0.8962 0.5869 0.7430  1 Sc 2.02, 1 Tm 2.13

Output
Formation energy (no corrections)   -4.00 eV/atom
Space group   No. 5
E_tot   -6.75 eV/atom

---

2.
Entry from Alexandria via LeMat-Bulk: crystalline Cu2PC at its relaxed geometry (PBE).

Cell lengths 6.8611, 6.8611, 6.8611 Å; angles 145.62, 145.62, 49.42 degrees
Last column: nearest neighbours and their distance in Å.
Element x y z (fractional)
Cu 0.0398 0.6250 0.9148  2 C 1.98
Cu 0.3750 0.2898 0.4148  2 C 1.98
Cu 0.7102 0.1250 0.0852  2 C 1.98
Cu 0.8750 0.9602 0.5852  2 C 1.98
P 0.2500 0.7500 0.5000  4 Cu 2.30
P 0.5000 0.5000 0.0000  4 Cu 2.30
C 0.0000 0.0000 0.0000  4 Cu 1.98
C 0.7500 0.2500 0.5000  4 Cu 1.98

Output
Space group   No. 122
E_tot   -4.81 eV/atom
Offset from the most stable computed form   0.000 eV/atom

---

- Which of these has the highest E_tot?
  Cu2PC